Record 1
PmHoTeSe | PBE | relaxed

The structure belongs to space group R3m (No. 160, hexagonal axes); the cell edges are 4.1073, 4.1073 and 22.8197 Å and the angles 90.00°, 90.00° and 120.00°. Symmetry generates all atoms from Pm at (0.0000, 0.0000, 0.0000), Ho at (0.0000, 0.0000, 0.1619), Te at (0.0000, 0.0000, 0.5771) and Se at (0.0000, 0.0000, 0.7523).

As for the volume: 111.1 Å³/f.u. The value obtained for the uncorrected formation energy is -1506 meV/atom.

Record 2
SrAgSb2Mo | PBE | relaxed

The structure belongs to space group P4/mmm (No. 123); the cell edges are 5.898, 5.898 and 5.505 Å and the angles 90.00°, 90.00° and 90.00°. Symmetry generates all atoms from Sr at (0.000, 0.000, 0.000), Ag at (0.000, 0.000, 0.500), Sb at (0.000, 0.500, 0.000) and Mo at (0.500, 0.500, 0.500).

As for the volume: 191.5 Å³/f.u. The value obtained for the uncorrected formation energy is 1546 meV/atom.

Record 3
TlCdIBr2 | PBE | relaxed

The structure belongs to space group P4/mmm (No. 123); the cell edges are 5.510, 5.510 and 5.979 Å and the angles 90.00°, 90.00° and 90.00°. Symmetry generates all atoms from Tl at (0.000, 0.000, 0.000), Cd at (0.500, 0.500, 0.500), I at (0.500, 0.500, 0.000) and Br at (0.000, 0.500, 0.500).

The calculation puts the energy above the most stable polymorph in this dataset at 0.079 eV per atom. As for the volume: 181.5 Å³/f.u. The value obtained for the uncorrected formation energy is -682 meV/atom.

Record 4
BaBeW2 | PBE | relaxed

The structure belongs to space group I-4m2 (No. 119); the cell edges are 4.783, 4.783 and 6.788 Å and the angles 90.00°, 90.00° and 90.00°. Symmetry generates all atoms from Ba at (0.000, 0.000, 0.000), Be at (0.000, 0.500, 0.750), W at (0.000, 0.000, 0.500) and W at (0.000, 0.500, 0.250).

The calculation puts the formation energy at 140 kJ/mol of atoms. As for the volume: 77.6 Å³/f.u.

Record 5
SrPm2TaN4 | PBE | relaxed

The structure belongs to space group Cmcm (No. 63); the cell edges are 3.522, 12.498 and 12.521 Å and the angles 90.00°, 90.00° and 90.00°. Symmetry generates all atoms from Sr at (0.000, 0.098, 0.250), Pm at (0.000, 0.371, 0.033), Ta at (0.000, 0.169, 0.750), N at (0.000, 0.000, 0.000), N at (0.000, 0.262, 0.627) and N at (0.000, 0.416, 0.250).

As for the volume: 137.8 Å³/f.u. The value obtained for the uncorrected formation energy is -1178 meV/atom.

Record 6
CsK2SiAs2 | PBE | relaxed

The structure belongs to space group Pnnm (No. 58); the cell edges are 7.953, 12.605 and 5.480 Å and the angles 90.00°, 90.00° and 90.00°. Symmetry generates all atoms from Cs at (0.000, 0.000, 0.000), K at (0.000, 0.310, 0.500), Si at (0.000, 0.500, 0.000) and As at (0.213, 0.387, 0.000).

As for the volume: 274.7 Å³/f.u. The value obtained for the uncorrected formation energy is -186 meV/atom.

Record 7
CeMg2PaN4 | PBE | relaxed

The structure belongs to space group P2/m (No. 10); the cell edges are 5.632, 3.489 and 6.054 Å and the angles 90.00°, 110.91° and 90.00°. Symmetry generates all atoms from Ce at (0.000, 0.000, 0.000), Mg at (0.500, 0.000, 0.500), Mg at (0.500, 0.500, 0.000), Pa at (0.000, 0.500, 0.500), N at (0.242, 0.500, 0.265) and N at (0.246, 0.000, 0.738).

As for the volume: 111.1 Å³/f.u. The value obtained for the uncorrected formation energy is -1170 meV/atom.

Record 8
HfInTcPd | PBE | relaxed

The structure belongs to space group F-43m (No. 216); the cell edges are 6.546, 6.546 and 6.546 Å and the angles 90.00°, 90.00° and 90.00°. Symmetry generates all atoms from Hf at (0.000, 0.000, 0.000), In at (0.000, 0.000, 0.500), Tc at (0.250, 0.250, 0.250) and Pd at (0.250, 0.250, 0.750).

The calculation puts the formation energy at -36 kJ/mol of atoms. As for the volume: 70.1 Å³/f.u.

Record 9
Pr6Sm2DyEr | PBE | relaxed

The structure belongs to space group C2/c (No. 15); the cell edges are 9.308, 15.487 and 9.798 Å and the angles 90.00°, 98.00° and 90.00°. Symmetry generates all atoms from Pr at (0.061, 0.180, 0.446), Pr at (0.101, 0.394, 0.618), Pr at (0.210, 0.221, 0.810), Sm at (0.247, 0.049, 0.044), Dy at (0.000, 0.024, 0.750) and Er at (0.000, 0.410, 0.250).

The calculation puts the formation energy at 11 kJ/mol of atoms. As for the volume: 349.7 Å³/f.u.

Record 10
CaTlRe3 | PBE | relaxed

The structure belongs to space group Pm-3m (No. 221); the cell edges are 5.026, 5.026 and 5.026 Å and the angles 90.00°, 90.00° and 90.00°. Symmetry generates all atoms from Ca at (0.000, 0.000, 0.000), Tl at (0.500, 0.500, 0.500) and Re at (0.000, 0.500, 0.500).

The calculation puts the formation energy at 265 kJ/mol of atoms. The calculation puts the energy above the most stable polymorph in this dataset at 0.000 eV per atom. As for the volume: 127.0 Å³/f.u.

Record 11
Ba3IrCl | PBE | relaxed

The structure belongs to space group C2/m (No. 12); the cell edges are 8.318, 14.267 and 7.961 Å and the angles 90.00°, 111.52° and 90.00°. Symmetry generates all atoms from Ba at (0.204, 0.000, 0.244), Ba at (0.239, 0.185, 0.775), Ir at (0.000, 0.167, 0.000) and Cl at (0.100, 0.500, 0.307).

The calculation puts the energy above the most stable polymorph in this dataset at 0.011 eV per atom. As for the volume: 219.8 Å³/f.u. The value obtained for the uncorrected formation energy is -803 meV/atom.

Record 12
Ca5Tl2 | PBE | relaxed

The structure belongs to space group Ibam (No. 72); the cell edges are 7.978, 16.143 and 7.238 Å and the angles 90.00°, 90.00° and 90.00°. Symmetry generates all atoms from Ca at (0.000, 0.000, 0.250), Ca at (0.000, 0.232, 0.250), Ca at (0.149, 0.417, 0.000) and Tl at (0.245, 0.377, 0.500).

The calculation puts the formation energy at -30 kJ/mol of atoms. The calculation puts the energy above the most stable polymorph in this dataset at 0.000 eV per atom. As for the volume: 233.0 Å³/f.u.

Record 13
SrMg2Al6 | PBE | relaxed

The structure belongs to space group P6/mmm (No. 191); the cell edges are 8.1018, 8.1018 and 3.3545 Å and the angles 90.00°, 90.00° and 120.00°. Symmetry generates all atoms from Sr at (0.0000, 0.0000, 0.0000), Mg at (0.3333, 0.6667, 0.0000) and Al at (0.0000, 0.3411, 0.5000).

The calculation puts the formation energy at 0 kJ/mol of atoms. The calculation puts the energy above the most stable polymorph in this dataset at 0.021 eV per atom. As for the volume: 190.7 Å³/f.u.

Record 14
Ac2SnPt2 | PBE | relaxed

The structure belongs to space group P4/mbm (No. 127); the cell edges are 8.102, 8.102 and 4.124 Å and the angles 90.00°, 90.00° and 90.00°. Symmetry generates all atoms from Ac at (0.174, 0.326, 0.000), Sn at (0.000, 0.000, 0.500) and Pt at (0.128, 0.628, 0.500).

The calculation puts the formation energy at -101 kJ/mol of atoms. As for the volume: 135.4 Å³/f.u.

Record 15
LiPt2Cl | PBE | relaxed

The structure belongs to space group F-43m (No. 216); the cell edges are 6.401, 6.401 and 6.401 Å and the angles 90.00°, 90.00° and 90.00°. Symmetry generates all atoms from Li at (0.000, 0.000, 0.000), Pt at (0.000, 0.000, 0.500), Pt at (0.250, 0.250, 0.250) and Cl at (0.250, 0.250, 0.750).

The calculation puts the energy above the most stable polymorph in this dataset at 0.475 eV per atom. As for the volume: 65.6 Å³/f.u. The value obtained for the uncorrected formation energy is 140 meV/atom.

Record 16
CaReW2 | PBE | relaxed

The structure belongs to space group I-42d (No. 122); the cell edges are 7.637, 7.637 and 5.653 Å and the angles 90.00°, 90.00° and 90.00°. Symmetry generates all atoms from Ca at (0.000, 0.000, 0.000), Re at (0.000, 0.000, 0.500) and W at (0.192, 0.250, 0.625).

The calculation puts the formation energy at 109 kJ/mol of atoms. The calculation puts the energy above the most stable polymorph in this dataset at 0.621 eV per atom. As for the volume: 82.4 Å³/f.u.

Record 17
In2TePb | PBE | relaxed

The structure belongs to space group I-42d (No. 122); the cell edges are 6.803, 6.803 and 13.719 Å and the angles 90.00°, 90.00° and 90.00°. Symmetry generates all atoms from In at (0.240, 0.250, 0.125), Te at (0.000, 0.000, 0.500) and Pb at (0.000, 0.000, 0.000).

The calculation puts the energy above the most stable polymorph in this dataset at 0.026 eV per atom. As for the volume: 158.8 Å³/f.u. The value obtained for the uncorrected formation energy is -59 meV/atom.

Record 18
AsOsBr2F | PBE | relaxed

The structure belongs to space group P4/mmm (No. 123); the cell edges are 5.169, 5.169 and 3.798 Å and the angles 90.00°, 90.00° and 90.00°. Symmetry generates all atoms from As at (0.000, 0.000, 0.000), Os at (0.500, 0.500, 0.000), Br at (0.000, 0.500, 0.500) and F at (0.000, 0.000, 0.500).

The calculation puts the energy above the most stable polymorph in this dataset at 0.782 eV per atom. As for the volume: 101.5 Å³/f.u. The value obtained for the uncorrected formation energy is 1115 meV/atom.